No. 1
A plane-wave DFT calculation with GGA-PBE was carried out for a relaxed Fe7Ni3Rh crystal.

Calculated values
The formation enthalpy at 0 K comes out at 0.1120 eV per atom.

a = 2.634 Å, b = 9.937 Å, c = 10.414 Å
α = 90.00°, β = 97.21°, γ = 90.00°
Space group P2_1/m (No. 11)
Asymmetric unit:
Fe (0.007, 0.124, 0.012)
Fe (0.122, 0.750, 0.246)
Fe (0.164, 0.084, 0.330)
Fe (0.291, 0.097, 0.581)
Ni (0.273, 0.750, 0.547)
Ni (0.417, 0.039, 0.831)
Rh (0.406, 0.750, 0.811)

No. 2
A plane-wave DFT calculation with GGA-PBE was carried out for a relaxed Ba2RuO5 crystal.

Calculated values
Its energy relative to the elements, uncorrected is -1.828 eV per atom.

a = 6.243 Å, b = 6.243 Å, c = 7.490 Å
α = 90.00°, β = 90.00°, γ = 90.00°
Space group I4mm (No. 107)
Asymmetric unit:
Ba (0.000, 0.500, 0.000)
Ru (0.000, 0.000, 0.204)
O (0.000, 0.000, 0.974)
O (0.206, 0.206, 0.284)

No. 3
A plane-wave DFT calculation with GGA-PBE was carried out for a relaxed Na4Ho3NpO8 crystal.

Calculated values
Its energy relative to the elements, uncorrected is -2.649 eV per atom.

a = 6.8622 Å, b = 6.8622 Å, c = 16.8459 Å
α = 90.00°, β = 90.00°, γ = 120.00°
Space group R-3m (No. 166, hexagonal axes)
Asymmetric unit:
Na (0.0000, 0.0000, 0.0000)
Na (0.0000, 0.5000, 0.0000)
Ho (0.0000, 0.5000, 0.5000)
Np (0.0000, 0.0000, 0.5000)
O (0.0000, 0.0000, 0.2364)
O (0.0046, 0.5023, 0.7621)

No. 4
A plane-wave DFT calculation with GGA-PBE was carried out for a relaxed ScCdNi crystal.

Calculated values
The formation enthalpy at 0 K comes out at -0.3170 eV per atom.

a = 3.349 Å, b = 3.349 Å, c = 9.422 Å
α = 90.00°, β = 90.00°, γ = 90.00°
Space group I4mm (No. 107)
Asymmetric unit:
Sc (0.000, 0.000, 0.000)
Cd (0.000, 0.000, 0.697)
Ni (0.000, 0.000, 0.366)